## PmYRh2 (SCAN)

Data for a PBEsol-optimized structure of PmYRh2.

Computed properties:
Formation enthalpy at 0 K ... -0.865 eV/atom
Total moment ... 0.000 μB per atom
N(E_F) ... 8.81 states/eV/cell
Calculated total energy ... -35.708 eV per atom
ρ ... 9.12 g/cm3

abc: 6.8421 6.8421 6.8421
angles: 90.00 90.00 90.00
Space group Fm-3m (No. 225)
Inequivalent atoms, fractional coordinates:
Pm  0.0000  0.0000  0.0000 x4
Y  0.0000  0.0000  0.5000 x4
Rh  0.2500  0.2500  0.2500 x8



## Pm2ZnRh (SCAN)

Data for a PBEsol-optimized structure of Pm2ZnRh.

Computed properties:
Formation enthalpy at 0 K ... -0.594 eV/atom
Total moment ... 0.000 μB per atom
N(E_F) ... 8.07 states/eV/cell
Calculated total energy ... -34.408 eV per atom
ρ ... 8.72 g/cm3

abc: 7.0412 7.0412 7.0412
angles: 90.00 90.00 90.00
Space group Fm-3m (No. 225)
Inequivalent atoms, fractional coordinates:
Pm  0.2500  0.2500  0.2500 x8
Zn  0.0000  0.0000  0.0000 x4
Rh  0.0000  0.0000  0.5000 x4



## PmZnRh2 (SCAN)

Data for a PBEsol-optimized structure of PmZnRh2.

Computed properties:
Formation enthalpy at 0 K ... -0.551 eV/atom
Total moment ... 0.000 μB per atom
N(E_F) ... 8.89 states/eV/cell
Calculated total energy ... -31.812 eV per atom
ρ ... 10.40 g/cm3

abc: 6.4308 6.4308 6.4308
angles: 90.00 90.00 90.00
Space group Fm-3m (No. 225)
Inequivalent atoms, fractional coordinates:
Pm  0.0000  0.0000  0.0000 x4
Zn  0.0000  0.0000  0.5000 x4
Rh  0.2500  0.2500  0.2500 x8



## PmSmRu2 (SCAN)

Data for a PBEsol-optimized structure of PmSmRu2.

Computed properties:
Formation enthalpy at 0 K ... -0.212 eV/atom
Total moment ... 0.000 μB per atom
N(E_F) ... 9.23 states/eV/cell
Calculated total energy ... -39.733 eV per atom
ρ ... 10.34 g/cm3

abc: 6.8367 6.8367 6.8367
angles: 90.00 90.00 90.00
Space group Fm-3m (No. 225)
Inequivalent atoms, fractional coordinates:
Pm  0.0000  0.0000  0.0000 x4
Sm  0.0000  0.0000  0.5000 x4
Ru  0.2500  0.2500  0.2500 x8